Compound: ThAl2Ag
Source: the Alexandria database
Functional: GGA-PBE
Structure: relaxed

ΔE_f	-1.39	eV per formula unit
calculated density	7.5	Mg/m³
Fermi-level density of states	0.531	states/eV per atom
energy above the most stable polymorph in this dataset	0.00	kcal/mol of atoms

Cell: 4.326 18.430 4.392 Å, 90.00 90.00 90.00°
Fractional positions:
Th  0.000  0.100  0.250
Th  0.000  0.900  0.750
Th  0.500  0.400  0.750
Th  0.500  0.600  0.250
Al  0.000  0.250  0.750
Al  0.000  0.465  0.250
Al  0.000  0.535  0.750
Al  0.000  0.750  0.250
Al  0.500  0.035  0.750
Al  0.500  0.250  0.250
Al  0.500  0.750  0.750
Al  0.500  0.965  0.250
Ag  0.000  0.328  0.250
Ag  0.000  0.672  0.750
Ag  0.500  0.172  0.750
Ag  0.500  0.828  0.250